(1)
! DyTlInPb | Alexandria via LeMat-Bulk | PBE | optimized geometry; values from VASP
! Space-group type   Pmmm, No. 47
! E   -14.59 eV per cell
! Size of the total moment   0.00 μB/cell
! Density   10.58 Mg/m³
! Energy of formation   -294 meV per atom
! Offset from the most stable computed form   0 meV per atom
&SYSTEM
  ibrav = 0, nat = 4, ntyp = 4
/
ATOMIC_SPECIES
Tl 204.38 Tl.upf
In 114.82 In.upf
Pb 207.20 Pb.upf
Dy 162.50 Dy.upf
CELL_PARAMETERS angstrom
-1.733 -3.109 3.133
1.502 -3.761 -2.901
4.033 -0.063 2.168
ATOMIC_POSITIONS angstrom
Tl 0.000 0.000 0.000
In 1.150 -1.586 2.651
Pb -0.116 -3.435 0.116
Dy 2.767 -1.912 -0.366

=====

(2)
! La7Nd4Th | Alexandria via LeMat-Bulk | PBE | optimized geometry; values from VASP
! Space-group type   P-1, No. 2
! E   -59.43 eV per cell
! Size of the total moment   0.00 μB/cell
! Density   6.86 Mg/m³
! Energy of formation   129 meV per atom
&SYSTEM
  ibrav = 0, nat = 12, ntyp = 3
/
ATOMIC_SPECIES
La 138.91 La.upf
Nd 144.24 Nd.upf
Th 232.04 Th.upf
CELL_PARAMETERS angstrom
5.748 -1.548 2.443
0.521 6.340 2.800
1.721 -1.632 11.845
ATOMIC_POSITIONS angstrom
La 2.874 -0.774 1.222
La 5.327 -0.110 7.745
La 2.664 3.270 9.343
La 1.333 2.557 2.602
La 1.709 -0.012 8.326
La 6.658 0.603 14.486
La 6.281 3.172 8.762
Nd 4.506 0.532 11.063
Nd 4.769 3.506 12.378
Nd 3.484 2.628 6.025
Nd 3.222 -0.346 4.710
Th 0.000 0.000 0.000

=====

(3)
! TbCe2Bi | Alexandria via LeMat-Bulk | PBE | optimized geometry; values from VASP
! Space-group type   P2_1/m, No. 11
! E   -44.21 eV per cell
! Size of the total moment   0.00 μB/cell
! Density   9.41 Mg/m³
! Energy of formation   -432 meV per atom
! Offset from the most stable computed form   0 meV per atom
&SYSTEM
  ibrav = 0, nat = 8, ntyp = 3
/
ATOMIC_SPECIES
Ce 140.12 Ce.upf
Bi 208.98 Bi.upf
Tb 158.93 Tb.upf
CELL_PARAMETERS angstrom
4.488 0.000 0.001
0.000 4.384 0.000
-2.155 0.000 11.625
ATOMIC_POSITIONS angstrom
Ce -1.899 1.096 10.278
Ce 2.447 1.096 1.291
Ce -0.114 3.288 10.335
Ce 4.231 3.288 1.347
Bi 0.069 1.096 3.910
Bi 2.263 3.288 7.715
Tb 0.040 1.096 7.112
Tb 2.293 3.288 4.513

=====

(4)
! CoMo2Ir | Alexandria via LeMat-Bulk | PBE | optimized geometry; values from VASP
! Space-group type   I4/mmm, No. 139
! E   -38.16 eV per cell
! Size of the total moment   0.00 μB/cell
! Density   13.05 Mg/m³
! Energy of formation   -133 meV per atom
! Offset from the most stable computed form   0 meV per atom
&SYSTEM
  ibrav = 0, nat = 4, ntyp = 3
/
ATOMIC_SPECIES
Ir 192.22 Ir.upf
Mo 95.94 Mo.upf
Co 58.93 Co.upf
CELL_PARAMETERS angstrom
4.713 0.012 0.005
1.610 4.430 -0.007
-3.166 -2.216 2.703
ATOMIC_POSITIONS angstrom
Ir 0.803 2.217 1.348
Mo 4.713 0.013 0.005
Mo 3.162 2.220 -0.001
Co 2.355 0.009 1.354